# 1
## Pm2YTeO8 (GGA-PBE)

Data for a geometry-optimized Pm2YTeO8 structure.

Calculated values
Total energy, hartree per atom: -0.26936
N(E_F), states/eV/atom: 0.61

abc: 5.156 6.977 5.159
angles: 90.00 91.02 90.00
Space group P2/m (No. 10)
Asymmetric unit:
Pm (0.000, 0.250, 0.000) [2 per cell]
Y (0.500, 0.000, 0.500) [1 per cell]
Te (0.500, 0.500, 0.500) [1 per cell]
O (0.196, 0.000, 0.197) [2 per cell]
O (0.231, 0.500, 0.233) [2 per cell]
O (0.323, 0.290, 0.679) [4 per cell]

# 2
## PrErPd6 (GGA-PBE)

Data for a geometry-optimized PrErPd6 structure.

Calculated values
Total energy, hartree per atom: -0.21604
N(E_F), states/eV/atom: 0.69
Energy relative to the elements, kJ per mole of atoms: -79

abc: 4.177 4.177 8.275
angles: 90.00 90.00 90.00
Space group P4/mmm (No. 123)
Asymmetric unit:
Pr (0.000, 0.000, 0.000) [1 per cell]
Er (0.000, 0.000, 0.500) [1 per cell]
Pd (0.000, 0.500, 0.259) [4 per cell]
Pd (0.500, 0.500, 0.000) [1 per cell]
Pd (0.500, 0.500, 0.500) [1 per cell]

# 3
## InCoMo2 (GGA-PBE)

Data for a geometry-optimized InCoMo2 structure.

Calculated values
Total energy, hartree per atom: -0.27667
N(E_F), states/eV/atom: 0.75
Energy relative to the elements, kJ per mole of atoms: 34

abc: 6.307 6.307 6.307
angles: 90.00 90.00 90.00
Space group F-43m (No. 216)
Asymmetric unit:
In (0.000, 0.000, 0.000) [4 per cell]
Co (0.250, 0.250, 0.750) [4 per cell]
Mo (0.000, 0.000, 0.500) [4 per cell]
Mo (0.250, 0.250, 0.250) [4 per cell]

# 4
## TcP3O9 (GGA-PBE)

Data for a geometry-optimized TcP3O9 structure.

Calculated values
Total energy, hartree per atom: -0.26943
N(E_F), states/eV/atom: 0.31

abc: 13.501 6.627 9.665
angles: 90.00 126.88 90.00
Space group Cc (No. 9)
Asymmetric unit:
Tc (0.000, 0.242, 0.000) [4 per cell]
P (0.139, 0.100, 0.824) [4 per cell]
P (0.245, 0.441, 0.740) [4 per cell]
P (0.360, 0.089, 0.675) [4 per cell]
O (0.031, 0.123, 0.830) [4 per cell]
O (0.120, 0.030, 0.182) [4 per cell]
O (0.151, 0.423, 0.094) [4 per cell]
O (0.178, 0.320, 0.804) [4 per cell]
O (0.263, 0.038, 0.006) [4 per cell]
O (0.279, 0.283, 0.649) [4 per cell]
O (0.358, 0.465, 0.399) [4 per cell]
O (0.391, 0.025, 0.331) [4 per cell]
O (0.466, 0.153, 0.673) [4 per cell]

# 5
## PrSmNpN3 (GGA-PBE)

Data for a geometry-optimized PrSmNpN3 structure.

Calculated values
Total energy, hartree per atom: -0.32631
N(E_F), states/eV/atom: 0.48

abc: 7.418 3.675 8.616
angles: 90.00 97.22 90.00
Space group P2_1/m (No. 11)
Asymmetric unit:
Pr (0.163, 0.250, 0.135) [2 per cell]
Sm (0.376, 0.750, 0.844) [2 per cell]
Np (0.058, 0.250, 0.589) [2 per cell]
N (0.102, 0.250, 0.845) [2 per cell]
N (0.215, 0.750, 0.579) [2 per cell]
N (0.391, 0.750, 0.121) [2 per cell]

# 6
## Tb3Sc3Cd2 (GGA-PBE)

Data for a geometry-optimized Tb3Sc3Cd2 structure.

Calculated values
Total energy, hartree per atom: -0.16126
N(E_F), states/eV/atom: 1.26
Energy relative to the elements, kJ per mole of atoms: -5

abc: 5.015 11.205 15.375
angles: 90.00 90.00 90.00
Space group Cmcm (No. 63)
Asymmetric unit:
Tb (0.000, 0.046, 0.106) [8 per cell]
Tb (0.000, 0.282, 0.250) [4 per cell]
Sc (0.000, 0.362, 0.038) [8 per cell]
Sc (0.000, 0.438, 0.750) [4 per cell]
Cd (0.000, 0.234, 0.625) [8 per cell]

# 7
## ZrNbSn (GGA-PBE)

Data for a geometry-optimized ZrNbSn structure.

Calculated values
Total energy, hartree per atom: -0.28688
N(E_F), states/eV/atom: 0.97
Energy relative to the elements, kJ per mole of atoms: -26

abc: 3.658 3.658 9.367
angles: 90.00 90.00 90.00
Space group I4mm (No. 107)
Asymmetric unit:
Zr (0.000, 0.000, 0.000) [2 per cell]
Nb (0.000, 0.000, 0.335) [2 per cell]
Sn (0.000, 0.000, 0.674) [2 per cell]

# 8
## Ta2HgRu (GGA-PBE)

Data for a geometry-optimized Ta2HgRu structure.

Calculated values
Total energy, hartree per atom: -0.29923
N(E_F), states/eV/atom: 0.81
Energy relative to the elements, kJ per mole of atoms: 17

abc: 3.312 4.761 9.122
angles: 90.00 90.00 90.00
Space group Cmm2 (No. 35)
Asymmetric unit:
Ta (0.000, 0.000, 0.000) [2 per cell]
Ta (0.000, 0.500, 0.250) [2 per cell]
Hg (0.000, 0.000, 0.523) [2 per cell]
Ru (0.000, 0.500, 0.783) [2 per cell]

# 9
## Er3Si4Au2 (GGA-PBE)

Data for a geometry-optimized Er3Si4Au2 structure.

Calculated values
Total energy, hartree per atom: -0.19932
N(E_F), states/eV/atom: 0.47

abc: 10.636 4.233 8.134
angles: 90.00 103.28 90.00
Space group C2/m (No. 12)
Asymmetric unit:
Er (0.000, 0.000, 0.000) [2 per cell]
Er (0.163, 0.500, 0.674) [4 per cell]
Si (0.055, 0.000, 0.392) [4 per cell]
Si (0.225, 0.500, 0.051) [4 per cell]
Au (0.115, 0.500, 0.281) [4 per cell]

# 10
## NaCaHg4 (GGA-PBE)

Data for a geometry-optimized NaCaHg4 structure.

Calculated values
Offset from the most stable computed form, eV per formula unit: 0.000
Total energy, hartree per atom: -0.03994
N(E_F), states/eV/atom: 0.39
Energy relative to the elements, kJ per mole of atoms: -32

abc: 5.086 6.883 8.817
angles: 90.00 90.00 90.00
Space group Imm2 (No. 44)
Asymmetric unit:
Na (0.000, 0.000, 0.000) [2 per cell]
Ca (0.000, 0.500, 0.002) [2 per cell]
Hg (0.000, 0.246, 0.335) [4 per cell]
Hg (0.000, 0.248, 0.668) [4 per cell]

# 11
## SiTcIO2 (GGA-PBE)

Data for a geometry-optimized SiTcIO2 structure.

Calculated values
Offset from the most stable computed form, eV per formula unit: 0.293
Total energy, hartree per atom: -0.20327
N(E_F), states/eV/atom: 0.81

abc: 3.607 3.607 6.568
angles: 90.00 90.00 90.00
Space group P4/mmm (No. 123)
Asymmetric unit:
Si (0.000, 0.000, 0.000) [1 per cell]
Tc (0.500, 0.500, 0.500) [1 per cell]
I (0.000, 0.000, 0.500) [1 per cell]
O (0.000, 0.500, 0.000) [2 per cell]

# 12
## InAgBr3 (GGA-PBE)

Data for a geometry-optimized InAgBr3 structure.

Calculated values
Total energy, hartree per atom: -0.09913
N(E_F), states/eV/atom: 0.00

abc: 7.167 7.774 14.904
angles: 90.00 113.17 90.00
Space group P2_1/c (No. 14)
Asymmetric unit:
In (0.149, 0.093, 0.073) [4 per cell]
Ag (0.231, 0.088, 0.840) [4 per cell]
Br (0.047, 0.731, 0.325) [4 per cell]
Br (0.312, 0.191, 0.491) [4 per cell]
Br (0.448, 0.553, 0.712) [4 per cell]

# 13
## KTl2OsAu (GGA-PBE)

Data for a geometry-optimized KTl2OsAu structure.

Calculated values
Total energy, hartree per atom: -0.11349
N(E_F), states/eV/atom: 0.87
Energy relative to the elements, kJ per mole of atoms: 94

abc: 5.570 5.570 5.270
angles: 90.00 90.00 90.00
Space group P4/mmm (No. 123)
Asymmetric unit:
K (0.000, 0.000, 0.000) [1 per cell]
Tl (0.000, 0.500, 0.500) [2 per cell]
Os (0.500, 0.500, 0.000) [1 per cell]
Au (0.500, 0.500, 0.500) [1 per cell]

# 14
## LaPr2Zr (GGA-PBE)

Data for a geometry-optimized LaPr2Zr structure.

Calculated values
Offset from the most stable computed form, eV per formula unit: 0.000
Total energy, hartree per atom: -0.20671
N(E_F), states/eV/atom: 1.15
Energy relative to the elements, kJ per mole of atoms: 13

abc: 3.5504 3.5504 35.3074
angles: 90.00 90.00 120.00
Space group R3m (No. 160, hexagonal axes)
Asymmetric unit:
La (0.0000, 0.0000, 0.0000) [3 per cell]
Pr (0.0000, 0.0000, 0.2418) [3 per cell]
Pr (0.0000, 0.0000, 0.4227) [3 per cell]
Zr (0.0000, 0.0000, 0.8321) [3 per cell]

# 15
## Nd6CoRu2Br3 (GGA-PBE)

Data for a geometry-optimized Nd6CoRu2Br3 structure.

Calculated values
Total energy, hartree per atom: -0.20901
N(E_F), states/eV/atom: 0.46

abc: 7.012 12.131 8.230
angles: 90.00 106.49 90.00
Space group C2/m (No. 12)
Asymmetric unit:
Nd (0.230, 0.164, 0.196) [8 per cell]
Nd (0.238, 0.500, 0.197) [4 per cell]
Co (0.000, 0.000, 0.000) [2 per cell]
Ru (0.000, 0.334, 0.000) [4 per cell]
Br (0.000, 0.168, 0.500) [4 per cell]
Br (0.000, 0.500, 0.500) [2 per cell]

# 16
## Ca2HAu (GGA-PBE)

Data for a geometry-optimized Ca2HAu structure.

Calculated values
Offset from the most stable computed form, eV per formula unit: 0.236
Total energy, hartree per atom: -0.11509
N(E_F), states/eV/atom: 0.50

abc: 6.821 6.821 7.695
angles: 90.00 90.00 90.00
Space group I-42d (No. 122)
Asymmetric unit:
Ca (0.171, 0.750, 0.125) [8 per cell]
H (0.000, 0.000, 0.000) [4 per cell]
Au (0.000, 0.000, 0.500) [4 per cell]

# 17
## LaYSb2 (GGA-PBE)

Data for a geometry-optimized LaYSb2 structure.

Calculated values
Offset from the most stable computed form, eV per formula unit: 0.000
Total energy, hartree per atom: -0.22519
N(E_F), states/eV/atom: 0.14

abc: 4.5161 4.5161 22.0149
angles: 90.00 90.00 120.00
Space group R-3m (No. 166, hexagonal axes)
Asymmetric unit:
La (0.0000, 0.0000, 0.0000) [3 per cell]
Y (0.0000, 0.0000, 0.5000) [3 per cell]
Sb (0.0000, 0.0000, 0.2458) [6 per cell]

# 18
## ErMg7Pd4 (GGA-PBE)

Data for a geometry-optimized ErMg7Pd4 structure.

Calculated values
Total energy, hartree per atom: -0.12202
N(E_F), states/eV/atom: 0.57
Energy relative to the elements, kJ per mole of atoms: -27

abc: 12.626 5.062 9.212
angles: 90.00 125.67 90.00
Space group C2/m (No. 12)
Asymmetric unit:
Er (0.000, 0.000, 0.000) [2 per cell]
Mg (0.000, 0.500, 0.000) [2 per cell]
Mg (0.066, 0.000, 0.386) [4 per cell]
Mg (0.184, 0.500, 0.622) [4 per cell]
Mg (0.219, 0.000, 0.874) [4 per cell]
Pd (0.068, 0.500, 0.782) [4 per cell]
Pd (0.190, 0.500, 0.335) [4 per cell]

# 19
## CdTcAs2 (GGA-PBE)

Data for a geometry-optimized CdTcAs2 structure.

Calculated values
Total energy, hartree per atom: -0.19206
N(E_F), states/eV/atom: 0.39
Energy relative to the elements, kJ per mole of atoms: -8

abc: 17.290 3.066 3.033
angles: 90.00 90.09 90.00
Space group Cm (No. 8)
Asymmetric unit:
Cd (0.000, 0.000, 0.000) [2 per cell]
Tc (0.254, 0.500, 0.505) [2 per cell]
As (0.168, 0.000, 0.004) [2 per cell]
As (0.342, 0.000, 0.006) [2 per cell]

# 20
## TaReAu2 (GGA-PBE)

Data for a geometry-optimized TaReAu2 structure.

Calculated values
Offset from the most stable computed form, eV per formula unit: 0.899
Total energy, hartree per atom: -0.27125
N(E_F), states/eV/atom: 1.23
Energy relative to the elements, kJ per mole of atoms: 32

abc: 2.8632 2.8632 28.6582
angles: 90.00 90.00 120.00
Space group R-3m (No. 166, hexagonal axes)
Asymmetric unit:
Ta (0.0000, 0.0000, 0.0000) [3 per cell]
Re (0.0000, 0.0000, 0.5000) [3 per cell]
Au (0.0000, 0.0000, 0.2483) [6 per cell]